Version a
Compound: Li3AgPd4
Source: Alexandria
Functional: PBE
Structure: optimized geometry

Cell lengths 10.611, 10.611, 4.218 Å; angles 101.18, 101.18, 15.25 degrees
Positions (direct):
Li 0.000 0.000 0.000
Li 0.146 0.146 0.643
Li 0.854 0.854 0.357
Ag 0.500 0.500 0.500
Pd 0.275 0.275 0.774
Pd 0.403 0.403 0.906
Pd 0.597 0.597 0.094
Pd 0.725 0.725 0.226

The total moment is 0.00 μB per formula unit.

=====

Version b
Compound: Li3AgPd4
Source: Alexandria
Functional: PBE
Structure: optimized geometry

Cell lengths 5.752, 5.752, 5.752 Å; angles 125.73, 78.70, 127.73 degrees
Positions (direct):
Li 0.000 0.000 0.000
Li 0.000 0.246 0.754
Li 0.492 0.246 0.246
Ag 0.979 0.479 0.500
Pd 0.485 0.235 0.750
Pd 0.485 0.734 0.250
Pd 0.509 0.749 0.761
Pd 0.988 0.749 0.239

The total moment is 0.00 μB per formula unit.

=====

The relative energies come out as version a 5.8; version b 0.0, with values in kJ/mol of atoms.